Compound: LiCrC
Source: Alexandria
Functional: PBE-GGA
Structure: optimized geometry

Output
The calculation puts the uncorrected energy at -6.795 eV per atom.

Lattice parameters (Å, degrees): 5.311 4.263 5.753 90.00 91.53 90.00
Space group P2_1/c (No. 14)
Inequivalent atoms, fractional coordinates:
Li (0.092, 0.224, 0.126) x4
Cr (0.440, 0.725, 0.092) x4
C (0.287, 0.540, 0.355) x4